Here is a relaxed Zr2IrPb crystal from the Alexandria database. Energies are from GGA-PBE.

a = 8.4855 Å, b = 8.4855 Å, c = 8.4855 Å
α = 24.83°, β = 24.83°, γ = 24.83°
Positions (direct):
Ir 0.7500 0.7500 0.7500
Pb 0.2500 0.2500 0.2500
Zr 0.0180 0.0180 0.0180
Zr 0.4820 0.4820 0.4820

## Properties
ΔH_f (0 K), eV per atom: -0.3192



Here is a relaxed NaSr2YO4 crystal from the Alexandria database. Energies are from GGA-PBE.

a = 3.5611 Å, b = 6.0911 Å, c = 6.0964 Å
α = 108.34°, β = 90.00°, γ = 90.00°
Positions (direct):
Na 0.0000 0.0000 0.0000
Sr 0.5000 0.0000 0.5000
Sr 0.0000 0.5000 0.5000
Y 0.5000 0.5000 0.0000
O 0.5000 0.2731 0.2416
O 0.5000 0.7269 0.7584
O 0.0000 0.2718 0.7729
O 0.0000 0.7282 0.2271

## Properties
Energy relative to the elements, uncorrected, eV per atom: -2.6811



Here is a relaxed Mn2ZnAg crystal from the Alexandria database. Energies are from GGA-PBE.

a = 4.8013 Å, b = 4.8013 Å, c = 4.8013 Å
α = 131.48°, β = 131.41°, γ = 71.11°
Site moments in Bohr magnetons follow the coordinates.
Positions (direct):
Ag 0.2500 0.7500 0.5000  0.04
Mn 0.0000 0.0000 0.0000  3.51
Mn 0.5000 0.5000 0.0000  3.51
Zn 0.7500 0.2500 0.5000  -0.09

## Properties
ΔH_f (0 K), eV per atom: 0.2329



What is the formula in the second record?
NaSr2YO4